VASP calculation (GGA-PBE) on a geometry-optimized Mn2AlPt structure.

a b c (Å): 3.916 3.916 7.180
angles (deg): 90.00 90.00 90.00
Space group I-4m2 (No. 119)
Unique sites:
Mn1 0.000 0.000 0.000 x2
Mn2 0.000 0.500 0.250 x2
Al1 0.000 0.000 0.500 x2
Pt1 0.000 0.500 0.750 x2

## Properties
- Magnetization: 0.9 μB/f.u.
- DOS(E_F): 2.5 states/eV/cell
- Electronic total energy: -7.50 eV/atom
- ΔE_f: -0.472 eV per atom